## CaLa3 (GGA-PBEsol)

Data for crystalline CaLa3 at its relaxed geometry.

Computed properties:
DFT formation energy   0.05 eV per atom
Calculated volume   35.39 Å³/atom
Symmetry   Pmmm (47)

Cell lengths 3.6280, 5.2835, 7.3858 Å; angles 90.00, 90.00, 90.00 degrees
With the nearest neighbours (Å) after each atom.
Atoms (fractional coordinates):
Ca1 0.0000 0.0000 0.0000  2 Ca 3.63, 10 La 3.69-3.77
La1 0.0000 0.0000 0.5000  10 La 3.63, 2 Ca 3.69
La2 0.5000 0.5000 0.2691  7 La 3.41-3.63, 4 Ca 3.77
La3 0.5000 0.5000 0.7309  7 La 3.41-3.63, 4 Ca 3.77